[1]
First-principles (PBE) data for crystalline LiAlH at its relaxed geometry, as listed in Alexandria.

a b c (Å): 2.8339 6.2058 9.1044
angles (deg): 90.00 90.00 90.00
Closest atoms and distances in Å follow each position.
Atoms (fractional coordinates):
Li: 0.7495 0.1460 0.3791  3 H 1.87-1.90
Li: 0.2495 0.3540 0.6209  3 H 1.87-1.90
Li: 0.2505 0.6460 0.1209  3 H 1.87-1.90
Li: 0.7505 0.8540 0.8791  3 H 1.87-1.90
H: 0.7497 0.4049 0.4909  1 Al 1.71, 3 Li 1.87-1.90
H: 0.7503 0.5951 0.9909  1 Al 1.71, 3 Li 1.87-1.90
H: 0.2503 0.9049 0.0091  1 Al 1.71, 3 Li 1.87-1.90
H: 0.2497 0.0951 0.5091  1 Al 1.71, 3 Li 1.87-1.90
Al: 0.7502 0.6414 0.3937  1 H 1.71
Al: 0.2498 0.1414 0.1063  1 H 1.71
Al: 0.2502 0.8586 0.6063  1 H 1.71
Al: 0.7498 0.3586 0.8937  1 H 1.71


[2]
First-principles (PBE) data for crystalline Tb2YP3Rh12 at its relaxed geometry, as listed in Alexandria.

Values from the calculation:
DFT formation energy = -0.40 eV per atom

a b c (Å): 6.7124 6.7124 6.7124
angles (deg): 83.86 83.86 83.86
Closest atoms and distances in Å follow each position.
Atoms (fractional coordinates):
P: 0.0000 0.5000 0.0000  2 Rh 2.23
P: 0.5000 0.0000 0.0000  2 Rh 2.23
P: 0.0000 0.0000 0.5000  2 Rh 2.23
Rh: 0.3376 0.8205 0.8205  1 P 2.23
Rh: 0.3696 0.3696 0.9076  2 P 2.57, 1 Rh 2.69
Rh: 0.8205 0.3376 0.8205  1 P 2.23
Rh: 0.6624 0.1795 0.1795  1 P 2.23
Rh: 0.0924 0.6304 0.6304  2 P 2.57, 1 Rh 2.69
Rh: 0.9076 0.3696 0.3696  2 P 2.57, 1 Rh 2.69
Rh: 0.8205 0.8205 0.3376  1 P 2.23
Rh: 0.6304 0.6304 0.0924  2 P 2.57, 1 Rh 2.69
Rh: 0.3696 0.9076 0.3696  2 P 2.57, 1 Rh 2.69
Rh: 0.6304 0.0924 0.6304  2 P 2.57, 1 Rh 2.69
Rh: 0.1795 0.6624 0.1795  1 P 2.23
Rh: 0.1795 0.1795 0.6624  1 P 2.23
Y: 0.0000 0.0000 0.0000  6 Rh 2.68
Tb: 0.3718 0.3718 0.3718  3 Rh 2.53
Tb: 0.6282 0.6282 0.6282  3 Rh 2.53


[3]
First-principles (PBE) data for crystalline La5MgSi2 at its relaxed geometry, as listed in Alexandria.

Values from the calculation:
formation energy from raw total energies = -384.7 meV per atom

a b c (Å): 7.9565 7.9565 9.6507
angles (deg): 114.34 114.34 90.00
Closest atoms and distances in Å follow each position.
Atoms (fractional coordinates):
Mg: 0.2500 0.2500 0.5000  8 La 3.45
Mg: 0.7500 0.7500 0.5000  8 La 3.45
La: 0.1896 0.0416 0.7313  3 Si 3.16-3.18, 2 Mg 3.45
La: 0.4584 0.3104 0.2687  3 Si 3.16-3.18, 2 Mg 3.45
La: 0.8104 0.9584 0.2687  3 Si 3.16-3.18, 2 Mg 3.45
La: 0.3104 0.8104 0.2687  3 Si 3.16-3.18, 2 Mg 3.45
La: 0.0416 0.5416 0.7313  3 Si 3.16-3.18, 2 Mg 3.45
La: 0.0000 0.0000 0.0000  4 Si 3.21
La: 0.5000 0.5000 0.0000  4 Si 3.21
La: 0.5416 0.6896 0.7313  3 Si 3.16-3.18, 2 Mg 3.45
La: 0.9584 0.4584 0.2687  3 Si 3.16-3.18, 2 Mg 3.45
La: 0.6896 0.1896 0.7313  3 Si 3.16-3.18, 2 Mg 3.45
Si: 0.6128 0.1128 0.0000  1 Si 2.54
Si: 0.1128 0.3872 0.0000  1 Si 2.54
Si: 0.8872 0.6128 0.0000  1 Si 2.54
Si: 0.3872 0.8872 0.0000  1 Si 2.54


| no. | DFT total energy (eV/atom) |
| --- | --- |
| 1 | -3.103 |
| 2 | -7.077 |
| 3 | -5.019 |